P | # MgTc2Ge

MgTc2Ge after structural relaxation (PBE-GGA, the Alexandria database).

Results
crystal system	tetragonal

Lattice parameters (Å, degrees): 7.4447 7.4447 5.0270 90.00 90.00 90.00
Element x y z (fractional)
1 Mg 0.0000 0.0000 0.0000
2 Mg 0.0000 0.5000 0.2500
3 Mg 0.5000 0.0000 0.7500
4 Mg 0.5000 0.5000 0.5000
5 Tc 0.1902 0.2500 0.6250
6 Tc 0.2500 0.6902 0.8750
7 Tc 0.2500 0.8098 0.3750
8 Tc 0.3098 0.2500 0.1250
9 Tc 0.6902 0.7500 0.1250
10 Tc 0.7500 0.1902 0.3750
11 Tc 0.7500 0.3098 0.8750
12 Tc 0.8098 0.7500 0.6250
13 Ge 0.0000 0.0000 0.5000
14 Ge 0.0000 0.5000 0.7500
15 Ge 0.5000 0.0000 0.2500
16 Ge 0.5000 0.5000 0.0000

=====

Q | # MgTc2Ge

MgTc2Ge after structural relaxation (PBE-GGA, the Alexandria database).

Results
crystal system	cubic

Lattice parameters (Å, degrees): 6.1836 6.1836 6.1836 90.00 90.00 90.00
Element x y z (fractional)
1 Mg 0.0000 0.0000 0.0000
2 Mg 0.0000 0.5000 0.5000
3 Mg 0.5000 0.0000 0.5000
4 Mg 0.5000 0.5000 0.0000
5 Tc 0.2500 0.2500 0.2500
6 Tc 0.2500 0.2500 0.7500
7 Tc 0.2500 0.7500 0.2500
8 Tc 0.2500 0.7500 0.7500
9 Tc 0.7500 0.2500 0.2500
10 Tc 0.7500 0.2500 0.7500
11 Tc 0.7500 0.7500 0.2500
12 Tc 0.7500 0.7500 0.7500
13 Ge 0.0000 0.0000 0.5000
14 Ge 0.0000 0.5000 0.0000
15 Ge 0.5000 0.0000 0.0000
16 Ge 0.5000 0.5000 0.5000

=====

Most stable: Q

=====

P | # Mg2TcGe2

Mg2TcGe2 after structural relaxation (PBE-GGA, the Alexandria database).

Results
crystal system	tetragonal

Lattice parameters (Å, degrees): 6.6636 6.6636 3.9027 90.00 90.00 90.00
Element x y z (fractional)
1 Mg 0.1719 0.3281 0.0000
2 Mg 0.3281 0.8281 0.0000
3 Mg 0.6719 0.1719 0.0000
4 Mg 0.8281 0.6719 0.0000
5 Tc 0.0000 0.0000 0.5000
6 Tc 0.5000 0.5000 0.5000
7 Ge 0.1374 0.6374 0.5000
8 Ge 0.3626 0.1374 0.5000
9 Ge 0.6374 0.8626 0.5000
10 Ge 0.8626 0.3626 0.5000

=====

Q | # Mg2TcGe2

Mg2TcGe2 after structural relaxation (PBE-GGA, the Alexandria database).

Results
crystal system	tetragonal

Lattice parameters (Å, degrees): 7.0724 7.0724 3.5996 90.00 90.00 90.00
Element x y z (fractional)
1 Mg 0.1420 0.3580 0.0000
2 Mg 0.3580 0.8580 0.0000
3 Mg 0.6420 0.1420 0.0000
4 Mg 0.8580 0.6420 0.0000
5 Tc 0.0000 0.0000 0.0000
6 Tc 0.5000 0.5000 0.0000
7 Ge 0.1636 0.6636 0.5000
8 Ge 0.3364 0.1636 0.5000
9 Ge 0.6636 0.8364 0.5000
10 Ge 0.8364 0.3364 0.5000

=====

R | # Mg2TcGe2

Mg2TcGe2 after structural relaxation (PBE-GGA, the Alexandria database).

Results
crystal system	tetragonal

Lattice parameters (Å, degrees): 3.5683 3.5683 15.4062 90.00 90.00 90.00
Element x y z (fractional)
1 Mg 0.0000 0.0000 0.0933
2 Mg 0.0000 0.0000 0.9067
3 Mg 0.5000 0.5000 0.4067
4 Mg 0.5000 0.5000 0.5933
5 Tc 0.0000 0.0000 0.5000
6 Tc 0.5000 0.5000 0.0000
7 Ge 0.0000 0.5000 0.2500
8 Ge 0.0000 0.5000 0.7500
9 Ge 0.5000 0.0000 0.2500
10 Ge 0.5000 0.0000 0.7500

=====

S | # Mg2TcGe2

Mg2TcGe2 after structural relaxation (PBE-GGA, the Alexandria database).

Results
crystal system	tetragonal

Lattice parameters (Å, degrees): 3.7068 3.7068 12.8622 90.00 90.00 90.00
Element x y z (fractional)
1 Mg 0.0000 0.5000 0.2500
2 Mg 0.0000 0.5000 0.7500
3 Mg 0.5000 0.0000 0.2500
4 Mg 0.5000 0.0000 0.7500
5 Tc 0.0000 0.0000 0.0000
6 Tc 0.5000 0.5000 0.5000
7 Ge 0.0000 0.0000 0.4053
8 Ge 0.0000 0.0000 0.5947
9 Ge 0.5000 0.5000 0.0947
10 Ge 0.5000 0.5000 0.9053

=====

Most stable: P

=====

P | # MgTc3Ge

MgTc3Ge after structural relaxation (PBE-GGA, the Alexandria database).

Results
crystal system	cubic

Lattice parameters (Å, degrees): 4.4857 4.4857 4.4857 90.00 90.00 90.00
Element x y z (fractional)
1 Mg 0.0000 0.0000 0.0000
2 Tc 0.0000 0.0000 0.5000
3 Tc 0.0000 0.5000 0.0000
4 Tc 0.5000 0.0000 0.0000
5 Ge 0.5000 0.5000 0.5000

=====

Q | # MgTc3Ge

MgTc3Ge after structural relaxation (PBE-GGA, the Alexandria database).

Results
crystal system	cubic

Lattice parameters (Å, degrees): 4.5919 4.5919 4.5919 90.00 90.00 90.00
Element x y z (fractional)
1 Mg 0.0000 0.0000 0.0000
2 Tc 0.0000 0.5000 0.5000
3 Tc 0.5000 0.0000 0.5000
4 Tc 0.5000 0.5000 0.0000
5 Ge 0.5000 0.5000 0.5000

=====

Most stable: Q

=====

P | # MgGe2Te

MgGe2Te after structural relaxation (PBE-GGA, the Alexandria database).

Results
crystal system	tetragonal

Lattice parameters (Å, degrees): 6.3172 6.3172 12.4097 90.00 90.00 90.00
Element x y z (fractional)
1 Mg 0.0000 0.0000 0.0000
2 Mg 0.0000 0.5000 0.2500
3 Mg 0.5000 0.0000 0.7500
4 Mg 0.5000 0.5000 0.5000
5 Ge 0.2391 0.2500 0.1250
6 Ge 0.2500 0.7391 0.3750
7 Ge 0.2500 0.7609 0.8750
8 Ge 0.2609 0.2500 0.6250
9 Ge 0.7391 0.7500 0.6250
10 Ge 0.7500 0.2391 0.8750
11 Ge 0.7500 0.2609 0.3750
12 Ge 0.7609 0.7500 0.1250
13 Te 0.0000 0.0000 0.5000
14 Te 0.0000 0.5000 0.7500
15 Te 0.5000 0.0000 0.2500
16 Te 0.5000 0.5000 0.0000

=====

Q | # MgGe2Te

MgGe2Te after structural relaxation (PBE-GGA, the Alexandria database).

Results
crystal system	cubic

Lattice parameters (Å, degrees): 7.1302 7.1302 7.1302 90.00 90.00 90.00
Element x y z (fractional)
1 Mg 0.0000 0.0000 0.0000
2 Mg 0.0000 0.5000 0.5000
3 Mg 0.5000 0.0000 0.5000
4 Mg 0.5000 0.5000 0.0000
5 Ge 0.2500 0.2500 0.2500
6 Ge 0.2500 0.2500 0.7500
7 Ge 0.2500 0.7500 0.2500
8 Ge 0.2500 0.7500 0.7500
9 Ge 0.7500 0.2500 0.2500
10 Ge 0.7500 0.2500 0.7500
11 Ge 0.7500 0.7500 0.2500
12 Ge 0.7500 0.7500 0.7500
13 Te 0.0000 0.0000 0.5000
14 Te 0.0000 0.5000 0.0000
15 Te 0.5000 0.0000 0.0000
16 Te 0.5000 0.5000 0.5000

=====

Most stable: P

=====

P | # MgGeTe3

MgGeTe3 after structural relaxation (PBE-GGA, the Alexandria database).

Results
crystal system	cubic

Lattice parameters (Å, degrees): 5.4191 5.4191 5.4191 90.00 90.00 90.00
Element x y z (fractional)
1 Mg 0.0000 0.0000 0.0000
2 Ge 0.5000 0.5000 0.5000
3 Te 0.0000 0.0000 0.5000
4 Te 0.0000 0.5000 0.0000
5 Te 0.5000 0.0000 0.0000

=====

Q | # MgGeTe3

MgGeTe3 after structural relaxation (PBE-GGA, the Alexandria database).

Results
crystal system	monoclinic

Lattice parameters (Å, degrees): 6.9869 4.1493 12.4500 90.00 99.22 90.00
Element x y z (fractional)
1 Mg 0.0227 0.2500 0.3232
2 Mg 0.9773 0.7500 0.6768
3 Ge 0.4374 0.2500 0.7611
4 Ge 0.5626 0.7500 0.2389
5 Te 0.1885 0.7500 0.2072
6 Te 0.1967 0.2500 0.5742
7 Te 0.3084 0.7500 0.8691
8 Te 0.6916 0.2500 0.1309
9 Te 0.8033 0.7500 0.4258
10 Te 0.8115 0.2500 0.7928

=====

R | # MgGeTe3

MgGeTe3 after structural relaxation (PBE-GGA, the Alexandria database).

Results
crystal system	cubic

Lattice parameters (Å, degrees): 5.4198 5.4198 5.4198 90.00 90.00 90.00
Element x y z (fractional)
1 Mg 0.0000 0.0000 0.0000
2 Ge 0.5000 0.5000 0.5000
3 Te 0.0000 0.5000 0.5000
4 Te 0.5000 0.0000 0.5000
5 Te 0.5000 0.5000 0.0000

=====

Most stable: Q

=====

P | # MgTl3Ge

MgTl3Ge after structural relaxation (PBE-GGA, the Alexandria database).

Results
crystal system	cubic

Lattice parameters (Å, degrees): 5.6113 5.6113 5.6113 90.00 90.00 90.00
Element x y z (fractional)
1 Mg 0.0000 0.0000 0.0000
2 Tl 0.0000 0.5000 0.5000
3 Tl 0.5000 0.0000 0.5000
4 Tl 0.5000 0.5000 0.0000
5 Ge 0.5000 0.5000 0.5000

=====

Q | # MgTl3Ge

MgTl3Ge after structural relaxation (PBE-GGA, the Alexandria database).

Results
crystal system	cubic

Lattice parameters (Å, degrees): 5.4663 5.4663 5.4663 90.00 90.00 90.00
Element x y z (fractional)
1 Mg 0.0000 0.0000 0.0000
2 Tl 0.0000 0.0000 0.5000
3 Tl 0.0000 0.5000 0.0000
4 Tl 0.5000 0.0000 0.0000
5 Ge 0.5000 0.5000 0.5000

=====

Most stable: P

=====

P | # MgGe2W2

MgGe2W2 after structural relaxation (PBE-GGA, the Alexandria database).

Results
crystal system	tetragonal

Lattice parameters (Å, degrees): 4.0096 4.0096 11.3103 90.00 90.00 90.00
Element x y z (fractional)
1 Mg 0.0000 0.0000 0.0000
2 Mg 0.5000 0.5000 0.5000
3 Ge 0.0000 0.0000 0.3943
4 Ge 0.0000 0.0000 0.6057
5 Ge 0.5000 0.5000 0.1057
6 Ge 0.5000 0.5000 0.8943
7 W 0.0000 0.5000 0.2500
8 W 0.0000 0.5000 0.7500
9 W 0.5000 0.0000 0.2500
10 W 0.5000 0.0000 0.7500

=====

Q | # MgGe2W2

MgGe2W2 after structural relaxation (PBE-GGA, the Alexandria database).

Results
crystal system	tetragonal

Lattice parameters (Å, degrees): 7.0652 7.0652 3.2598 90.00 90.00 90.00
Element x y z (fractional)
1 Mg 0.0000 0.0000 0.0000
2 Mg 0.5000 0.5000 0.0000
3 Ge 0.1441 0.3559 0.0000
4 Ge 0.3559 0.8559 0.0000
5 Ge 0.6441 0.1441 0.0000
6 Ge 0.8559 0.6441 0.0000
7 W 0.1492 0.6492 0.5000
8 W 0.3508 0.1492 0.5000
9 W 0.6492 0.8508 0.5000
10 W 0.8508 0.3508 0.5000

=====

Most stable: Q

=====

P | # MgGeW2

MgGeW2 after structural relaxation (PBE-GGA, the Alexandria database).

Results
crystal system	tetragonal

Lattice parameters (Å, degrees): 7.4965 7.4965 5.1572 90.00 90.00 90.00
Element x y z (fractional)
1 Mg 0.0000 0.0000 0.0000
2 Mg 0.0000 0.5000 0.2500
3 Mg 0.5000 0.0000 0.7500
4 Mg 0.5000 0.5000 0.5000
5 Ge 0.0000 0.0000 0.5000
6 Ge 0.0000 0.5000 0.7500
7 Ge 0.5000 0.0000 0.2500
8 Ge 0.5000 0.5000 0.0000
9 W 0.2042 0.7500 0.6250
10 W 0.2500 0.2042 0.3750
11 W 0.2500 0.2958 0.8750
12 W 0.2958 0.7500 0.1250
13 W 0.7042 0.2500 0.1250
14 W 0.7500 0.7042 0.8750
15 W 0.7500 0.7958 0.3750
16 W 0.7958 0.2500 0.6250

=====

Q | # MgGeW2

MgGeW2 after structural relaxation (PBE-GGA, the Alexandria database).

Results
crystal system	cubic

Lattice parameters (Å, degrees): 6.3371 6.3371 6.3371 90.00 90.00 90.00
Element x y z (fractional)
1 Mg 0.0000 0.0000 0.0000
2 Mg 0.0000 0.5000 0.5000
3 Mg 0.5000 0.0000 0.5000
4 Mg 0.5000 0.5000 0.0000
5 Ge 0.0000 0.0000 0.5000
6 Ge 0.0000 0.5000 0.0000
7 Ge 0.5000 0.0000 0.0000
8 Ge 0.5000 0.5000 0.5000
9 W 0.2500 0.2500 0.2500
10 W 0.2500 0.2500 0.7500
11 W 0.2500 0.7500 0.2500
12 W 0.2500 0.7500 0.7500
13 W 0.7500 0.2500 0.2500
14 W 0.7500 0.2500 0.7500
15 W 0.7500 0.7500 0.2500
16 W 0.7500 0.7500 0.7500

=====

Most stable: Q

=====

P | # MgGeW3

MgGeW3 after structural relaxation (PBE-GGA, the Alexandria database).

Results
crystal system	cubic

Lattice parameters (Å, degrees): 4.5857 4.5857 4.5857 90.00 90.00 90.00
Element x y z (fractional)
1 Mg 0.0000 0.0000 0.0000
2 Ge 0.5000 0.5000 0.5000
3 W 0.0000 0.0000 0.5000
4 W 0.0000 0.5000 0.0000
5 W 0.5000 0.0000 0.0000

=====

Q | # MgGeW3

MgGeW3 after structural relaxation (PBE-GGA, the Alexandria database).

Results
crystal system	cubic

Lattice parameters (Å, degrees): 4.6452 4.6452 4.6452 90.00 90.00 90.00
Element x y z (fractional)
1 Mg 0.0000 0.0000 0.0000
2 Ge 0.5000 0.5000 0.5000
3 W 0.0000 0.5000 0.5000
4 W 0.5000 0.0000 0.5000
5 W 0.5000 0.5000 0.0000

=====

Most stable: Q

=====

P | # Y2MgGe2

Y2MgGe2 after structural relaxation (PBE-GGA, the Alexandria database).

Results
crystal system	tetragonal

Lattice parameters (Å, degrees): 7.2836 7.2836 4.2539 90.00 90.00 90.00
Element x y z (fractional)
1 Y 0.1775 0.3225 0.0000
2 Y 0.3225 0.8225 0.0000
3 Y 0.6775 0.1775 0.0000
4 Y 0.8225 0.6775 0.0000
5 Mg 0.0000 0.0000 0.5000
6 Mg 0.5000 0.5000 0.5000
7 Ge 0.1235 0.6235 0.5000
8 Ge 0.3765 0.1235 0.5000
9 Ge 0.6235 0.8765 0.5000
10 Ge 0.8765 0.3765 0.5000

=====

Q | # Y2MgGe2

Y2MgGe2 after structural relaxation (PBE-GGA, the Alexandria database).

Results
crystal system	tetragonal

Lattice parameters (Å, degrees): 8.5114 8.5114 3.3699 90.00 90.00 90.00
Element x y z (fractional)
1 Y 0.1378 0.3622 0.0000
2 Y 0.3622 0.8622 0.0000
3 Y 0.6378 0.1378 0.0000
4 Y 0.8622 0.6378 0.0000
5 Mg 0.0000 0.0000 0.0000
6 Mg 0.5000 0.5000 0.0000
7 Ge 0.1668 0.6668 0.5000
8 Ge 0.3332 0.1668 0.5000
9 Ge 0.6668 0.8332 0.5000
10 Ge 0.8332 0.3332 0.5000

=====

Most stable: P

=====

P | # MgZnGe3

MgZnGe3 after structural relaxation (PBE-GGA, the Alexandria database).

Results
crystal system	cubic

Lattice parameters (Å, degrees): 4.8852 4.8852 4.8852 90.00 90.00 90.00
Element x y z (fractional)
1 Mg 0.0000 0.0000 0.0000
2 Zn 0.5000 0.5000 0.5000
3 Ge 0.0000 0.5000 0.5000
4 Ge 0.5000 0.0000 0.5000
5 Ge 0.5000 0.5000 0.0000

=====

Q | # MgZnGe3

MgZnGe3 after structural relaxation (PBE-GGA, the Alexandria database).

Results
crystal system	cubic

Lattice parameters (Å, degrees): 5.0218 5.0218 5.0218 90.00 90.00 90.00
Element x y z (fractional)
1 Mg 0.0000 0.0000 0.0000
2 Zn 0.5000 0.5000 0.5000
3 Ge 0.0000 0.0000 0.5000
4 Ge 0.0000 0.5000 0.0000
5 Ge 0.5000 0.0000 0.0000

=====

Most stable: P